No. 1
# PrSn3Pd5

A geometry-optimized PrSn3Pd5 structure (PBE, the Alexandria database).

Summary:
Calculated formation energy = -583 meV/atom

a = 7.346 Å, b = 7.346 Å, c = 13.580 Å
α = 90.00°, β = 90.00°, γ = 148.43°
Fractional coordinates of all 18 atoms:
Pr (0.113, 0.887, 0.750)
Pr (0.887, 0.113, 0.250)
Sn (0.133, 0.867, 0.250)
Sn (0.378, 0.622, 0.044)
Sn (0.378, 0.622, 0.456)
Sn (0.622, 0.378, 0.544)
Sn (0.622, 0.378, 0.956)
Sn (0.867, 0.133, 0.750)
Pd (0.000, 0.000, 0.000)
Pd (0.000, 0.000, 0.500)
Pd (0.196, 0.804, 0.067)
Pd (0.196, 0.804, 0.433)
Pd (0.456, 0.544, 0.647)
Pd (0.456, 0.544, 0.853)
Pd (0.544, 0.456, 0.147)
Pd (0.544, 0.456, 0.353)
Pd (0.804, 0.196, 0.567)
Pd (0.804, 0.196, 0.933)

***

No. 2
# Th4AsRhS2

A geometry-optimized Th4AsRhS2 structure (PBE, the Alexandria database).

Summary:
ΔE_f (raw) = -1.437 eV/atom

a = 7.156 Å, b = 4.061 Å, c = 7.342 Å
α = 90.00°, β = 109.14°, γ = 90.00°
Fractional coordinates of all 8 atoms:
Th (0.241, 0.000, 0.237)
Th (0.258, 0.500, 0.756)
Th (0.742, 0.500, 0.244)
Th (0.759, 0.000, 0.763)
As (0.000, 0.000, 0.500)
Rh (0.000, 0.500, 0.000)
S (0.500, 0.000, 0.000)
S (0.500, 0.500, 0.500)

***

No. 3
# TaCdBF10

A geometry-optimized TaCdBF10 structure (PBE, the Alexandria database).

Summary:
ΔE_f (raw) = -2.901 eV/atom

a = 8.388 Å, b = 9.523 Å, c = 9.182 Å
α = 90.00°, β = 94.61°, γ = 90.00°
Fractional coordinates of all 52 atoms:
Ta (0.167, 0.070, 0.265)
Ta (0.167, 0.430, 0.765)
Ta (0.833, 0.570, 0.235)
Ta (0.833, 0.930, 0.735)
Cd (0.323, 0.022, 0.712)
Cd (0.323, 0.478, 0.212)
Cd (0.677, 0.522, 0.788)
Cd (0.677, 0.978, 0.288)
B (0.429, 0.726, 0.494)
B (0.429, 0.774, 0.994)
B (0.571, 0.226, 0.006)
B (0.571, 0.274, 0.506)
F (0.062, 0.574, 0.219)
F (0.062, 0.926, 0.719)
F (0.145, 0.080, 0.060)
F (0.145, 0.420, 0.560)
F (0.161, 0.627, 0.767)
F (0.161, 0.873, 0.267)
F (0.183, 0.223, 0.766)
F (0.183, 0.277, 0.266)
F (0.195, 0.077, 0.480)
F (0.195, 0.423, 0.980)
F (0.328, 0.633, 0.408)
F (0.328, 0.867, 0.908)
F (0.333, 0.686, 0.075)
F (0.333, 0.814, 0.575)
F (0.399, 0.061, 0.270)
F (0.399, 0.439, 0.770)
F (0.464, 0.147, 0.912)
F (0.464, 0.353, 0.412)
F (0.482, 0.191, 0.599)
F (0.482, 0.309, 0.099)
F (0.518, 0.691, 0.901)
F (0.518, 0.809, 0.401)
F (0.536, 0.647, 0.588)
F (0.536, 0.853, 0.088)
F (0.601, 0.561, 0.230)
F (0.601, 0.939, 0.730)
F (0.667, 0.186, 0.425)
F (0.667, 0.314, 0.925)
F (0.672, 0.133, 0.092)
F (0.672, 0.367, 0.592)
F (0.805, 0.577, 0.020)
F (0.805, 0.923, 0.520)
F (0.817, 0.723, 0.734)
F (0.817, 0.777, 0.234)
F (0.839, 0.127, 0.733)
F (0.839, 0.373, 0.233)
F (0.855, 0.580, 0.440)
F (0.855, 0.920, 0.940)
F (0.938, 0.074, 0.281)
F (0.938, 0.426, 0.781)

***

No. 4
# SrCIF2

A geometry-optimized SrCIF2 structure (PBE, the Alexandria database).

Summary:
ΔE_f (raw) = -0.709 eV/atom

a = 4.469 Å, b = 4.469 Å, c = 7.610 Å
α = 90.00°, β = 90.00°, γ = 90.00°
Fractional coordinates of all 5 atoms:
Sr (0.000, 0.000, 0.000)
C (0.500, 0.500, 0.500)
I (0.000, 0.000, 0.500)
F (0.000, 0.500, 0.000)
F (0.500, 0.000, 0.000)

***

No. 5
# CaAlGa

A geometry-optimized CaAlGa structure (PBE, the Alexandria database).

Summary:
Calculated formation energy = -417 meV/atom

a = 10.660 Å, b = 4.508 Å, c = 7.410 Å
α = 90.00°, β = 132.13°, γ = 90.00°
Fractional coordinates of all 12 atoms:
Ca (0.050, 0.000, 0.304)
Ca (0.450, 0.500, 0.696)
Ca (0.550, 0.500, 0.304)
Ca (0.950, 0.000, 0.696)
Al (0.162, 0.500, 0.096)
Al (0.338, 0.000, 0.904)
Al (0.662, 0.000, 0.096)
Al (0.838, 0.500, 0.904)
Ga (0.161, 0.500, 0.716)
Ga (0.339, 0.000, 0.284)
Ga (0.661, 0.000, 0.716)
Ga (0.839, 0.500, 0.284)

***

No. 6
# Ga2Fe2Ag

A geometry-optimized Ga2Fe2Ag structure (PBE, the Alexandria database).

Summary:
Calculated formation energy = 27 meV/atom

a = 7.318 Å, b = 7.318 Å, c = 2.703 Å
α = 90.00°, β = 90.00°, γ = 90.00°
Fractional coordinates of all 10 atoms:
Ga (0.179, 0.321, 0.000)
Ga (0.321, 0.821, 0.000)
Ga (0.679, 0.179, 0.000)
Ga (0.821, 0.679, 0.000)
Fe (0.116, 0.616, 0.500)
Fe (0.384, 0.116, 0.500)
Fe (0.616, 0.884, 0.500)
Fe (0.884, 0.384, 0.500)
Ag (0.000, 0.000, 0.500)
Ag (0.500, 0.500, 0.500)

***

No. 7
# TmVC2

A geometry-optimized TmVC2 structure (PBE, the Alexandria database).

Summary:
Calculated formation energy = -257 meV/atom

a = 3.173 Å, b = 3.173 Å, c = 16.026 Å
α = 90.00°, β = 90.00°, γ = 120.00°
Fractional coordinates of all 12 atoms:
Tm (0.000, 0.000, 0.000)
Tm (0.333, 0.667, 0.667)
Tm (0.667, 0.333, 0.333)
V (0.000, 0.000, 0.500)
V (0.333, 0.667, 0.167)
V (0.667, 0.333, 0.833)
C (0.000, 0.000, 0.236)
C (0.000, 0.000, 0.764)
C (0.333, 0.667, 0.430)
C (0.333, 0.667, 0.903)
C (0.667, 0.333, 0.097)
C (0.667, 0.333, 0.570)

***

No. 8
# V2BS

A geometry-optimized V2BS structure (PBE, the Alexandria database).

Summary:
ΔE_f (raw) = -0.050 eV/atom
Offset from the most stable computed form = 0.000 eV/atom

a = 5.607 Å, b = 5.607 Å, c = 5.607 Å
α = 90.00°, β = 90.00°, γ = 90.00°
Fractional coordinates of all 16 atoms:
V (0.250, 0.250, 0.250)
V (0.250, 0.250, 0.750)
V (0.250, 0.750, 0.250)
V (0.250, 0.750, 0.750)
V (0.750, 0.250, 0.250)
V (0.750, 0.250, 0.750)
V (0.750, 0.750, 0.250)
V (0.750, 0.750, 0.750)
B (0.000, 0.000, 0.000)
B (0.000, 0.500, 0.500)
B (0.500, 0.000, 0.500)
B (0.500, 0.500, 0.000)
S (0.000, 0.000, 0.500)
S (0.000, 0.500, 0.000)
S (0.500, 0.000, 0.000)
S (0.500, 0.500, 0.500)

***

No. 9
# ZnCu5Au4

A geometry-optimized ZnCu5Au4 structure (PBE, the Alexandria database).

Summary:
Calculated formation energy = 8 meV/atom
Offset from the most stable computed form = 0.075 eV/atom

a = 7.844 Å, b = 8.552 Å, c = 4.596 Å
α = 90.00°, β = 90.00°, γ = 90.00°
Fractional coordinates of all 20 atoms:
Zn (0.250, 0.250, 0.205)
Zn (0.750, 0.750, 0.795)
Cu (0.086, 0.509, 0.228)
Cu (0.086, 0.991, 0.228)
Cu (0.250, 0.750, 0.063)
Cu (0.414, 0.509, 0.228)
Cu (0.414, 0.991, 0.228)
Cu (0.586, 0.009, 0.772)
Cu (0.586, 0.491, 0.772)
Cu (0.750, 0.250, 0.937)
Cu (0.914, 0.009, 0.772)
Cu (0.914, 0.491, 0.772)
Au (0.065, 0.750, 0.575)
Au (0.250, 0.063, 0.732)
Au (0.250, 0.437, 0.732)
Au (0.435, 0.750, 0.575)
Au (0.565, 0.250, 0.425)
Au (0.750, 0.563, 0.268)
Au (0.750, 0.937, 0.268)
Au (0.935, 0.250, 0.425)

***

No. 10
# Ce2PaZn

A geometry-optimized Ce2PaZn structure (PBE, the Alexandria database).

Summary:
Calculated formation energy = 249 meV/atom
Offset from the most stable computed form = 0.290 eV/atom

a = 3.117 Å, b = 3.117 Å, c = 35.855 Å
α = 90.00°, β = 90.00°, γ = 120.00°
Fractional coordinates of all 12 atoms:
Ce (0.000, 0.000, 0.087)
Ce (0.000, 0.000, 0.913)
Ce (0.333, 0.667, 0.580)
Ce (0.333, 0.667, 0.753)
Ce (0.667, 0.333, 0.247)
Ce (0.667, 0.333, 0.420)
Pa (0.000, 0.000, 0.500)
Pa (0.333, 0.667, 0.167)
Pa (0.667, 0.333, 0.833)
Zn (0.000, 0.000, 0.000)
Zn (0.333, 0.667, 0.667)
Zn (0.667, 0.333, 0.333)

***

Calculated DOS at the Fermi energy in order - 8.0 6.5 0.0 2.4 4.6 5.1 2.8 16.8 5.5 29.0 states/eV per cell
Calculated total magnetic moment in order - 0.0 0.0 0.0 1.0 0.0 3.8 0.0 0.0 0.0 0.1 μB per formula unit
Calculated theoretical density in order - 8.909 9.640 4.490 2.891 3.440 8.237 8.695 5.456 12.613 9.525 Mg/m³